VZnCr2O6 | PBE with a Hubbard U | relaxed

abc: 5.066 5.114 5.496
angles: 62.21 62.16 60.71
Each line ends with the local moment (μB).
Fractional positions:
V  0.321  0.317  0.052  1.10
Zn  0.810  0.797  0.607  0.02
Cr  0.518  0.518  0.448  3.02
Cr  0.015  0.010  0.962  2.99
O  0.595  0.243  0.228  -0.07
O  0.223  0.922  0.245  -0.03
O  0.925  0.604  0.222  -0.06
O  0.403  0.720  0.747  -0.05
O  0.718  0.134  0.749  -0.04
O  0.135  0.396  0.755  -0.05

Summary:
- SG: No. 1
- V: 104.44 Å³/cell
- Magnetic moment: 7.00 Bohr magnetons per cell
- Calculated total energy: -7.190 eV/atom